No. 1
Material: ZrTePb2
Method: DFT, GGA-PBE
State: optimized geometry

DOS at the Fermi energy = 4.45 states/eV per cell
ΔE_f (raw) = 0.093 eV per atom
Magnetization = 0.6 μB per formula unit

abc: 5.3866 5.3866 5.3866
angles: 60.00 60.00 60.00
Fractional positions:
1 Pb 0.0000 0.0000 0.0000
2 Pb 0.2500 0.2500 0.2500
3 Te 0.5000 0.5000 0.5000
4 Zr 0.7500 0.7500 0.7500

---

No. 2
Material: Zr2TePb2
Method: DFT, GGA-PBE
State: optimized geometry

DOS at the Fermi energy = 1.04 states/eV per cell
ΔE_f (raw) = -0.049 eV per atom
Magnetization = 0.0 μB per formula unit
Polymorph energy (0 for the lowest one) = 0.973 eV/f.u.

abc: 4.1896 4.1896 8.1763
angles: 75.16 75.16 90.00
Fractional positions:
1 Pb 0.7500 0.2500 0.5000
2 Pb 0.2500 0.7500 0.5000
3 Te 0.0000 0.0000 0.0000
4 Zr 0.4016 0.4016 0.1968
5 Zr 0.5984 0.5984 0.8032

---

No. 3
Material: ZrTePb2
Method: DFT, GGA-PBE
State: optimized geometry

DOS at the Fermi energy = 2.45 states/eV per cell
ΔE_f (raw) = 0.012 eV per atom
Magnetization = 0.0 μB per formula unit

abc: 5.7574 5.7574 3.4177
angles: 90.00 90.00 108.28
Fractional positions:
1 Pb 0.0000 0.0000 0.0000
2 Pb 0.5000 0.5000 0.0000
3 Te 0.5000 0.0000 0.5000
4 Zr 0.0000 0.5000 0.5000